(1)
The following is a PBE calculation of an optimized crystal structure of Y2TlSi, from the Alexandria database.

Output
As for the symmetry: I-42d (122). For the energy, the calculation gives -5.39 eV/atom. The uncorrected formation energy is -0.2101 eV per atom.

abc: 6.6197 6.6197 6.6197
angles: 105.58 105.58 117.57
Atoms (fractional coordinates):
Y 0.0961 0.6250 0.9711
Y 0.3750 0.3461 0.4711
Y 0.6539 0.1250 0.0289
Y 0.8750 0.9039 0.5289
Tl 0.2500 0.7500 0.5000
Tl 0.5000 0.5000 0.0000
Si 0.0000 0.0000 0.0000
Si 0.7500 0.2500 0.5000

(2)
The following is a PBE calculation of an optimized crystal structure of Y2TlSi, from the Alexandria database.

Output
As for the symmetry: Cmmm (65). For the energy, the calculation gives -5.55 eV/atom. The uncorrected formation energy is -0.3682 eV per atom.

abc: 5.4330 5.4330 3.3726
angles: 90.00 90.00 100.26
Atoms (fractional coordinates):
Y 0.0000 0.5000 0.0000
Y 0.5000 0.0000 0.0000
Tl 0.0000 0.0000 0.5000
Si 0.5000 0.5000 0.5000

(3)
The following is a PBE calculation of an optimized crystal structure of TlZn3Si, from the Alexandria database.

Output
As for the symmetry: Pm-3m (221). For the energy, the calculation gives -1.99 eV/atom. The value obtained for the distance to the lowest polymorph of the same formula is 0.0 meV per atom. The uncorrected formation energy is 0.3276 eV per atom.

abc: 4.8459 4.8459 4.8459
angles: 90.00 90.00 90.00
Atoms (fractional coordinates):
Tl 0.0000 0.0000 0.0000
Zn 0.0000 0.5000 0.5000
Zn 0.5000 0.0000 0.5000
Zn 0.5000 0.5000 0.0000
Si 0.5000 0.5000 0.5000

(4)
The following is a PBE calculation of an optimized crystal structure of Tl2ZnSi2, from the Alexandria database.

Output
As for the symmetry: I4/mmm (139). For the energy, the calculation gives -3.07 eV/atom. The value obtained for the distance to the lowest polymorph of the same formula is 0.0 meV per atom. The uncorrected formation energy is 0.3025 eV per atom.

abc: 9.6639 9.6639 9.6639
angles: 159.12 159.12 29.70
Atoms (fractional coordinates):
Tl 0.1066 0.1066 0.0000
Tl 0.8934 0.8934 0.0000
Zn 0.5000 0.5000 0.0000
Si 0.2500 0.7500 0.5000
Si 0.7500 0.2500 0.5000

(5)
The following is a PBE calculation of an optimized crystal structure of TlZn2Si, from the Alexandria database.

Output
As for the symmetry: Fm-3m (225). For the energy, the calculation gives -2.17 eV/atom. The value obtained for the distance to the lowest polymorph of the same formula is 202.8 meV per atom. The uncorrected formation energy is 0.4100 eV per atom.

abc: 4.8243 4.8243 4.8243
angles: 60.00 60.00 60.00
Atoms (fractional coordinates):
Tl 0.0000 0.0000 0.0000
Zn 0.2500 0.2500 0.2500
Zn 0.7500 0.7500 0.7500
Si 0.5000 0.5000 0.5000

(6)
The following is a PBE calculation of an optimized crystal structure of TlZn2Si, from the Alexandria database.

Output
As for the symmetry: Cmm2 (35). For the energy, the calculation gives -2.26 eV/atom. The value obtained for the distance to the lowest polymorph of the same formula is 119.1 meV per atom. The uncorrected formation energy is 0.3263 eV per atom.

abc: 3.1364 3.1364 8.1614
angles: 90.00 90.00 95.72
Atoms (fractional coordinates):
Tl 0.0000 0.0000 0.0000
Zn 0.0000 0.0000 0.4982
Zn 0.5000 0.5000 0.2990
Si 0.5000 0.5000 0.6838

(7)
The following is a PBE calculation of an optimized crystal structure of TlZn2Si, from the Alexandria database.

Output
As for the symmetry: Pmm2 (25). For the energy, the calculation gives -2.27 eV/atom. The value obtained for the distance to the lowest polymorph of the same formula is 104.4 meV per atom. The uncorrected formation energy is 0.3116 eV per atom.

abc: 2.9420 3.8199 7.1483
angles: 90.00 90.00 90.00
Atoms (fractional coordinates):
Tl 0.0000 0.0000 0.0000
Zn 0.0000 0.0000 0.5098
Zn 0.5000 0.5000 0.3019
Si 0.5000 0.5000 0.6718

(8)
The following is a PBE calculation of an optimized crystal structure of TlZn2Si, from the Alexandria database.

Output
As for the symmetry: I-4m2 (119). For the energy, the calculation gives -2.18 eV/atom. The value obtained for the distance to the lowest polymorph of the same formula is 201.8 meV per atom. The uncorrected formation energy is 0.4090 eV per atom.

abc: 5.4694 5.4694 5.4694
angles: 136.16 136.16 63.73
Atoms (fractional coordinates):
Tl 0.0000 0.0000 0.0000
Zn 0.2500 0.7500 0.5000
Zn 0.5000 0.5000 0.0000
Si 0.7500 0.2500 0.5000

(9)
The following is a PBE calculation of an optimized crystal structure of TlZn2Si, from the Alexandria database.

Output
As for the symmetry: Cmmm (65). For the energy, the calculation gives -2.28 eV/atom. The value obtained for the distance to the lowest polymorph of the same formula is 101.9 meV per atom. The uncorrected formation energy is 0.3091 eV per atom.

abc: 3.1999 3.1999 7.8409
angles: 90.00 90.00 100.04
Atoms (fractional coordinates):
Tl 0.0000 0.0000 0.0000
Zn 0.5000 0.5000 0.2983
Zn 0.5000 0.5000 0.7017
Si 0.0000 0.0000 0.5000

(10)
The following is a PBE calculation of an optimized crystal structure of TlZnSi4, from the Alexandria database.

Output
As for the symmetry: F-43m (216). For the energy, the calculation gives -3.68 eV/atom. The uncorrected formation energy is 0.5414 eV per atom.

abc: 5.3766 5.3766 5.3766
angles: 60.00 60.00 60.00
Atoms (fractional coordinates):
Tl 0.0000 0.0000 0.0000
Zn 0.7500 0.7500 0.7500
Si 0.3769 0.3769 0.3769
Si 0.3769 0.3769 0.8693
Si 0.3769 0.8693 0.3769
Si 0.8693 0.3769 0.3769

(11)
The following is a PBE calculation of an optimized crystal structure of TlZn2Si, from the Alexandria database.

Output
As for the symmetry: Immm (71). For the energy, the calculation gives -2.22 eV/atom. The value obtained for the distance to the lowest polymorph of the same formula is 159.3 meV per atom. The uncorrected formation energy is 0.3665 eV per atom.

abc: 5.1447 5.1447 5.1447
angles: 135.97 119.30 77.97
Atoms (fractional coordinates):
Tl 0.0000 0.0000 0.0000
Zn 0.2811 0.7811 0.5000
Zn 0.7189 0.2189 0.5000
Si 0.5000 0.5000 0.0000

(12)
The following is a PBE calculation of an optimized crystal structure of TlZn2Si, from the Alexandria database.

Output
As for the symmetry: I-42d (122). For the energy, the calculation gives -2.28 eV/atom. The value obtained for the distance to the lowest polymorph of the same formula is 93.1 meV per atom. The uncorrected formation energy is 0.3003 eV per atom.

abc: 8.5278 8.5278 8.5278
angles: 146.49 146.49 48.11
Atoms (fractional coordinates):
Tl 0.0000 0.0000 0.0000
Tl 0.7500 0.2500 0.5000
Zn 0.2442 0.6250 0.1192
Zn 0.3750 0.4942 0.6192
Zn 0.5058 0.1250 0.8808
Zn 0.8750 0.7558 0.3808
Si 0.2500 0.7500 0.5000
Si 0.5000 0.5000 0.0000

(13)
The following is a PBE calculation of an optimized crystal structure of TlZn2Si, from the Alexandria database.

Output
As for the symmetry: R-3m (166). For the energy, the calculation gives -2.31 eV/atom. The value obtained for the distance to the lowest polymorph of the same formula is 68.6 meV per atom. The uncorrected formation energy is 0.2758 eV per atom.

abc: 8.1507 8.1507 8.1507
angles: 24.13 24.13 24.13
Atoms (fractional coordinates):
Tl 0.0000 0.0000 0.0000
Zn 0.2365 0.2365 0.2365
Zn 0.7635 0.7635 0.7635
Si 0.5000 0.5000 0.5000

(14)
The following is a PBE calculation of an optimized crystal structure of TlZn2Si, from the Alexandria database.

Output
As for the symmetry: Cmmm (65). For the energy, the calculation gives -2.17 eV/atom. The value obtained for the distance to the lowest polymorph of the same formula is 202.1 meV per atom. The uncorrected formation energy is 0.4093 eV per atom.

abc: 5.2294 5.2294 2.9981
angles: 90.00 90.00 108.00
Atoms (fractional coordinates):
Tl 0.0000 0.0000 0.0000
Zn 0.0000 0.5000 0.5000
Zn 0.5000 0.0000 0.5000
Si 0.5000 0.5000 0.0000

(15)
The following is a PBE calculation of an optimized crystal structure of TlZn2Si, from the Alexandria database.

Output
As for the symmetry: C2/m (12). For the energy, the calculation gives -2.19 eV/atom. The value obtained for the distance to the lowest polymorph of the same formula is 191.1 meV per atom. The uncorrected formation energy is 0.3983 eV per atom.

abc: 5.0315 5.0315 3.2229
angles: 96.37 96.37 103.87
Atoms (fractional coordinates):
Tl 0.0000 0.0000 0.0000
Zn 0.0000 0.5000 0.5000
Zn 0.5000 0.0000 0.5000
Si 0.5000 0.5000 0.0000

(16)
The following is a PBE calculation of an optimized crystal structure of TlZn2Si, from the Alexandria database.

Output
As for the symmetry: R3m (160). For the energy, the calculation gives -2.25 eV/atom. The value obtained for the distance to the lowest polymorph of the same formula is 130.9 meV per atom. The uncorrected formation energy is 0.3381 eV per atom.

abc: 8.4038 8.4038 8.4038
angles: 23.08 23.08 23.08
Atoms (fractional coordinates):
Tl 0.0000 0.0000 0.0000
Zn 0.2367 0.2367 0.2367
Zn 0.4974 0.4974 0.4974
Si 0.7611 0.7611 0.7611

(17)
The following is a PBE calculation of an optimized crystal structure of TlZn2Si, from the Alexandria database.

Output
As for the symmetry: Cm (8). For the energy, the calculation gives -2.36 eV/atom. The value obtained for the distance to the lowest polymorph of the same formula is 12.2 meV per atom. The uncorrected formation energy is 0.2194 eV per atom.

abc: 4.1482 4.1482 6.3394
angles: 107.94 107.94 59.79
Atoms (fractional coordinates):
Tl 0.0000 0.0000 0.0000
Zn 0.5217 0.5217 0.5520
Zn 0.7913 0.7913 0.3567
Si 0.2056 0.2056 0.6036

(18)
The following is a PBE calculation of an optimized crystal structure of TlZn2Si, from the Alexandria database.

Output
As for the symmetry: P4/mmm (123). For the energy, the calculation gives -2.17 eV/atom. The value obtained for the distance to the lowest polymorph of the same formula is 208.1 meV per atom. The uncorrected formation energy is 0.4153 eV per atom.

abc: 4.2700 4.2700 4.2607
angles: 90.00 90.00 90.00
Atoms (fractional coordinates):
Tl 0.0000 0.0000 0.0000
Zn 0.0000 0.5000 0.5000
Zn 0.5000 0.0000 0.5000
Si 0.5000 0.5000 0.0000

(19)
The following is a PBE calculation of an optimized crystal structure of TlZn3Si, from the Alexandria database.

Output
As for the symmetry: Pm-3m (221). For the energy, the calculation gives -1.32 eV/atom. The value obtained for the distance to the lowest polymorph of the same formula is 678.2 meV per atom. The uncorrected formation energy is 1.0057 eV per atom.

abc: 5.1149 5.1149 5.1149
angles: 90.00 90.00 90.00
Atoms (fractional coordinates):
Tl 0.0000 0.0000 0.0000
Zn 0.0000 0.0000 0.5000
Zn 0.0000 0.5000 0.0000
Zn 0.5000 0.0000 0.0000
Si 0.5000 0.5000 0.5000

(20)
The following is a PBE calculation of an optimized crystal structure of Tl2ZnSi2, from the Alexandria database.

Output
As for the symmetry: P4/mbm (127). For the energy, the calculation gives -3.05 eV/atom. The value obtained for the distance to the lowest polymorph of the same formula is 20.0 meV per atom. The uncorrected formation energy is 0.3226 eV per atom.

abc: 6.5695 6.5695 5.2017
angles: 90.00 90.00 90.00
Atoms (fractional coordinates):
Tl 0.1854 0.3146 0.0000
Tl 0.3146 0.8146 0.0000
Tl 0.6854 0.1854 0.0000
Tl 0.8146 0.6854 0.0000
Zn 0.0000 0.0000 0.5000
Zn 0.5000 0.5000 0.5000
Si 0.1290 0.6290 0.5000
Si 0.3710 0.1290 0.5000
Si 0.6290 0.8710 0.5000
Si 0.8710 0.3710 0.5000